## one
## MoH2O (PBE+U)

Data for MoH2O after structural relaxation.

Geometry as POSCAR:
```
MoH2O
1.0
-1.5499 1.5499 7.6346
1.5499 -1.5499 7.6346
1.5499 1.5499 -7.6346
Mo H O
2 4 2
Cartesian
1.5499 0.7750 1.9086
0.0000 0.7750 5.7259
1.5499 0.0000 0.0000
-0.7750 0.7750 3.8173
0.0000 0.0000 7.6346
0.7750 0.7750 3.8173
1.5499 -0.7750 5.7259
0.0000 2.3249 1.9086
```

Calculated values
volume = 9.17 A^3/atom
space group = No. 141
density of states at the Fermi level = 1.010 states/eV per cell

=====

## two
## MoH2O (PBE+U)

Data for MoH2O after structural relaxation.

Geometry as POSCAR:
```
MoH2O
1.0
0.0000 2.4694 2.4694
2.4694 0.0000 2.4694
2.4694 2.4694 0.0000
Mo H O
1 2 1
Cartesian
0.0000 0.0000 0.0000
1.2347 1.2347 1.2347
3.7041 3.7041 3.7041
2.4694 2.4694 2.4694
```

Calculated values
volume = 7.53 A^3/atom
space group = No. 225
density of states at the Fermi level = 0.497 states/eV per cell

=====

Relative calculated energies, zero for the most stable structure, unit eV/atom: one 0.000; two 0.399.